A plane-wave DFT calculation with PBE was carried out for a relaxed BaTa crystal.

CIF file:
```
data_BaTa
_chemical_formula_sum 'Ba2 Ta2'
_cell_length_a 3.6931
_cell_length_b 3.6783
_cell_length_c 11.3392
_cell_angle_alpha 61.35
_cell_angle_beta 90.00
_cell_angle_gamma 90.00
_symmetry_space_group_name_H-M 'P 1'
_symmetry_Int_Tables_number 1
_symmetry_space_group_name_Hall 'P 1'
loop_
_atom_site_label
_atom_site_type_symbol
_atom_site_fract_x
_atom_site_fract_y
_atom_site_fract_z
Ta1 Ta 0.7500 0.8233 0.4503
Ta2 Ta 0.2500 0.1767 0.5497
Ba1 Ba 0.7500 0.3051 0.8008
Ba2 Ba 0.2500 0.6949 0.1992
```

Its calculated formation energy is 608 meV/atom. The total magnetization comes out at 0.00 μB per atom. The volume comes out at 33.79 Å³ per atom. As for the energy above the most stable polymorph in this dataset: 2.05 kcal/mol of atoms. The density of states at the Fermi level comes out at 4.97 states/eV/cell.